i.
This record from OQMD via LeMat-Bulk describes a geometry-optimized NaLaTaCo structure. The functional is PBE-GGA.

Output
The calculation puts the total moment at 1.11 μB per formula unit.

abc: 6.846 6.846 6.846
angles: 90.00 90.00 90.00
Space group F-43m (No. 216)
Inequivalent atoms, fractional coordinates:
1 Na 0.000 0.000 0.000 x4
2 La 0.250 0.250 0.250 x4
3 Ta 0.250 0.250 0.750 x4
4 Co 0.000 0.000 0.500 x4

ii.
This record from OQMD via LeMat-Bulk describes a geometry-optimized NaLaTaCo structure. The functional is PBE-GGA.

Output
The calculation puts the total moment at 0.03 μB per formula unit.

abc: 6.769 6.769 6.769
angles: 90.00 90.00 90.00
Space group F-43m (No. 216)
Inequivalent atoms, fractional coordinates:
1 Na 0.000 0.000 0.000 x4
2 La 0.250 0.250 0.250 x4
3 Ta 0.000 0.000 0.500 x4
4 Co 0.250 0.250 0.750 x4

iii.
This record from OQMD via LeMat-Bulk describes a geometry-optimized NaLaTaCo structure. The functional is PBE-GGA.

Output
The calculation puts the total moment at 0.47 μB per formula unit.

abc: 6.936 6.936 6.936
angles: 90.00 90.00 90.00
Space group F-43m (No. 216)
Inequivalent atoms, fractional coordinates:
1 Na 0.000 0.000 0.000 x4
2 La 0.000 0.000 0.500 x4
3 Ta 0.250 0.250 0.750 x4
4 Co 0.250 0.250 0.250 x4

Which structure is the most stable? The one labeled i.